P) # SrBe2Ni | Alexandria | GGA-PBEsol | relaxed
data_SrBe2Ni
_symmetry_space_group_name_H-M 'R 3 m'
_symmetry_Int_Tables_number 160
_symmetry_space_group_name_Hall 'R 3 -2"'
_cell_length_a 3.8328
_cell_length_b 3.8328
_cell_length_c 15.6898
_cell_angle_alpha 90.00
_cell_angle_beta 90.00
_cell_angle_gamma 120.00
loop_
_atom_site_label
_atom_site_fract_x
_atom_site_fract_y
_atom_site_fract_z
_atom_site_occupancy
Sr1 0.0000 0.0000 0.0000 1
Be1 0.0000 0.0000 0.1783 1
Be2 0.0000 0.0000 0.4955 1
Ni1 0.0000 0.0000 0.8173 1
# **Calculated density**: 4.100 g cm⁻³


Q) # SrBe2Ni | Alexandria | GGA-PBEsol | relaxed
data_SrBe2Ni
_symmetry_space_group_name_H-M 'I 4/m m m'
_symmetry_Int_Tables_number 139
_symmetry_space_group_name_Hall '-I 4 2'
_cell_length_a 4.161
_cell_length_b 4.161
_cell_length_c 7.108
_cell_angle_alpha 90.00
_cell_angle_beta 90.00
_cell_angle_gamma 90.00
loop_
_atom_site_label
_atom_site_fract_x
_atom_site_fract_y
_atom_site_fract_z
_atom_site_occupancy
Sr1 0.000 0.000 0.000 1
Be1 0.000 0.500 0.250 1
Ni1 0.000 0.000 0.500 1
# **Calculated density**: 4.435 g cm⁻³


R) # SrBe2Ni | Alexandria | GGA-PBEsol | relaxed
data_SrBe2Ni
_symmetry_space_group_name_H-M 'P m m m'
_symmetry_Int_Tables_number 47
_cell_length_a 3.230
_cell_length_b 4.210
_cell_length_c 4.667
_cell_angle_alpha 90.00
_cell_angle_beta 90.00
_cell_angle_gamma 90.00
loop_
_symmetry_equiv_pos_as_xyz
'x,y,z'
'-x,-y,-z'
'-x,-y,z'
'x,y,-z'
'x,-y,-z'
'-x,y,z'
'-x,y,-z'
'x,-y,z'
loop_
_atom_site_label
_atom_site_fract_x
_atom_site_fract_y
_atom_site_fract_z
_atom_site_occupancy
Sr1 0.000 0.000 0.000 1
Be1 0.000 0.500 0.500 1
Be2 0.500 0.000 0.500 1
Ni1 0.500 0.500 0.000 1
# **Calculated density**: 4.301 g cm⁻³


Energies, relative to the best one, in eV/atom: P) 0.000; Q) 0.698; R) 0.873.


P) # TaBe2Ni | Alexandria | GGA-PBEsol | relaxed
data_TaBe2Ni
_symmetry_space_group_name_H-M 'P 4/m m m'
_symmetry_Int_Tables_number 123
_symmetry_space_group_name_Hall '-P 4 2'
_cell_length_a 2.721
_cell_length_b 2.721
_cell_length_c 5.880
_cell_angle_alpha 90.00
_cell_angle_beta 90.00
_cell_angle_gamma 90.00
loop_
_atom_site_label
_atom_site_fract_x
_atom_site_fract_y
_atom_site_fract_z
_atom_site_occupancy
Ta1 0.000 0.000 0.000 1
Be1 0.500 0.500 0.302 1
Ni1 0.000 0.000 0.500 1
# **Calculated density**: 9.825 g cm⁻³


Q) # TaBe2Ni | Alexandria | GGA-PBEsol | relaxed
data_TaBe2Ni
_symmetry_space_group_name_H-M 'I m m m'
_symmetry_Int_Tables_number 71
_symmetry_space_group_name_Hall '-I 2 2'
_cell_length_a 2.579
_cell_length_b 4.398
_cell_length_c 8.315
_cell_angle_alpha 90.00
_cell_angle_beta 90.00
_cell_angle_gamma 90.00
loop_
_atom_site_label
_atom_site_fract_x
_atom_site_fract_y
_atom_site_fract_z
_atom_site_occupancy
Ta1 0.000 0.000 0.000 1
Be1 0.000 0.500 0.223 1
Ni1 0.000 0.000 0.500 1
# **Calculated density**: 9.074 g cm⁻³


Energies, relative to the best one, in eV/atom: P) 0.000; Q) 0.313.


P) # BeTl2Ni | Alexandria | GGA-PBEsol | relaxed
data_BeTl2Ni
_symmetry_space_group_name_H-M 'I m m 2'
_symmetry_Int_Tables_number 44
_cell_length_a 3.104
_cell_length_b 4.125
_cell_length_c 11.237
_cell_angle_alpha 90.00
_cell_angle_beta 90.00
_cell_angle_gamma 90.00
loop_
_symmetry_equiv_pos_as_xyz
'x,y,z'
'-x,-y,z'
'-x,y,z'
'x,-y,z'
'x+1/2,y+1/2,z+1/2'
'-x+1/2,-y+1/2,z+1/2'
'-x+1/2,y+1/2,z+1/2'
'x+1/2,-y+1/2,z+1/2'
loop_
_atom_site_label
_atom_site_fract_x
_atom_site_fract_y
_atom_site_fract_z
_atom_site_occupancy
Be1 0.000 0.000 0.000 1
Tl1 0.000 0.000 0.422 1
Tl2 0.000 0.500 0.197 1
Ni1 0.000 0.500 0.631 1
# **Calculated density**: 10.998 g cm⁻³


Q) # BeTl2Ni | Alexandria | GGA-PBEsol | relaxed
data_BeTl2Ni
_symmetry_space_group_name_H-M 'I -4 m 2'
_symmetry_Int_Tables_number 119
_symmetry_space_group_name_Hall 'I -4 -2'
_cell_length_a 3.876
_cell_length_b 3.876
_cell_length_c 9.100
_cell_angle_alpha 90.00
_cell_angle_beta 90.00
_cell_angle_gamma 90.00
loop_
_atom_site_label
_atom_site_fract_x
_atom_site_fract_y
_atom_site_fract_z
_atom_site_occupancy
Be1 0.000 0.000 0.000 1
Tl1 0.000 0.000 0.500 1
Tl2 0.000 0.500 0.750 1
Ni1 0.000 0.500 0.250 1
# **Calculated density**: 11.572 g cm⁻³


Energies, relative to the best one, in eV/atom: P) 0.000; Q) 0.243.


P) # BeZnNi | Alexandria | GGA-PBEsol | relaxed
data_BeZnNi
_symmetry_space_group_name_H-M 'I 4 m m'
_symmetry_Int_Tables_number 107
_symmetry_space_group_name_Hall 'I 4 -2'
_cell_length_a 2.721
_cell_length_b 2.721
_cell_length_c 8.358
_cell_angle_alpha 90.00
_cell_angle_beta 90.00
_cell_angle_gamma 90.00
loop_
_atom_site_label
_atom_site_fract_x
_atom_site_fract_y
_atom_site_fract_z
_atom_site_occupancy
Be1 0.000 0.000 0.000 1
Zn1 0.000 0.000 0.681 1
Ni1 0.000 0.000 0.372 1
# **Calculated density**: 7.144 g cm⁻³


Q) # BeZnNi | Alexandria | GGA-PBEsol | relaxed
data_BeZnNi
_symmetry_space_group_name_H-M 'P 3 m 1'
_symmetry_Int_Tables_number 156
_cell_length_a 2.5179
_cell_length_b 2.5179
_cell_length_c 5.8496
_cell_angle_alpha 90.00
_cell_angle_beta 90.00
_cell_angle_gamma 120.00
loop_
_symmetry_equiv_pos_as_xyz
'x,y,z'
'-y,x-y,z'
'-x+y,-x,z'
'-y,-x,z'
'-x+y,y,z'
'x,x-y,z'
loop_
_atom_site_label
_atom_site_fract_x
_atom_site_fract_y
_atom_site_fract_z
_atom_site_occupancy
Be1 0.0000 0.0000 0.0000 1
Zn1 0.6667 0.3333 0.3576 1
Ni1 0.3333 0.6667 0.7144 1
# **Calculated density**: 6.882 g cm⁻³


Energies, relative to the best one, in eV/atom: P) 0.000; Q) 0.179.